## a
A plane-wave DFT calculation with PBE was carried out for a relaxed Rb2Se2O7 crystal.

- Magnetization: 0.00 Bohr magnetons per cell
- Volume: 216.86 Å³/f.u.

a b c (Å): 7.9076 7.9076 7.9611
angles (deg): 91.67 91.67 60.66
Positions (direct):
Rb 0.0089 0.7014 0.6452
Rb 0.2986 0.9911 0.8548
Rb 0.7014 0.0089 0.1452
Rb 0.9911 0.2986 0.3548
Se 0.2142 0.5804 0.1397
Se 0.4196 0.7858 0.3603
Se 0.5804 0.2142 0.6397
Se 0.7858 0.4196 0.8603
O 0.0426 0.6457 0.2805
O 0.1468 0.7416 0.9894
O 0.2584 0.8532 0.5106
O 0.3095 0.3528 0.0772
O 0.3528 0.3095 0.5772
O 0.3543 0.9574 0.2195
O 0.4261 0.5739 0.2500
O 0.5739 0.4261 0.7500
O 0.6457 0.0426 0.7805
O 0.6472 0.6905 0.4228
O 0.6905 0.6472 0.9228
O 0.7416 0.1468 0.4894
O 0.8532 0.2584 0.0106
O 0.9574 0.3543 0.7195

## b
A plane-wave DFT calculation with PBE was carried out for a relaxed Rb2Se2O7 crystal.

- Magnetization: 0.22 Bohr magnetons per cell
- Volume: 239.80 Å³/f.u.

a b c (Å): 6.8184 6.8184 5.4623
angles (deg): 95.07 95.07 107.25
Positions (direct):
Rb 0.1986 0.8014 0.0000
Rb 0.8014 0.1986 0.0000
Se 0.2894 0.2894 0.5705
Se 0.7106 0.7106 0.4295
O 0.1500 0.4022 0.7303
O 0.1694 0.1694 0.2991
O 0.4022 0.1500 0.7303
O 0.5000 0.5000 0.5000
O 0.5978 0.8500 0.2697
O 0.8306 0.8306 0.7009
O 0.8500 0.5978 0.2697

Least stable of them? b.

## a
A plane-wave DFT calculation with PBE was carried out for a relaxed Rb3Se2O8 crystal.

- Magnetization: 1.14 Bohr magnetons per cell
- Volume: 252.20 Å³/f.u.

a b c (Å): 6.2011 6.2011 8.3803
angles (deg): 111.76 111.76 59.99
Positions (direct):
Rb 0.0000 0.0000 0.0000
Rb 0.2046 0.2046 0.6143
Rb 0.7954 0.7954 0.3857
Se 0.4086 0.4086 0.2251
Se 0.5914 0.5914 0.7749
O 0.2719 0.7160 0.7046
O 0.2844 0.2844 0.2959
O 0.2840 0.7281 0.2954
O 0.3341 0.3341 0.0031
O 0.6659 0.6659 0.9969
O 0.7160 0.2719 0.7046
O 0.7156 0.7156 0.7041
O 0.7281 0.2840 0.2954

## b
A plane-wave DFT calculation with PBE was carried out for a relaxed Rb3Se2O8 crystal.

- Magnetization: 2.42 Bohr magnetons per cell
- Volume: 255.97 Å³/f.u.

a b c (Å): 8.4758 8.4758 10.6237
angles (deg): 102.90 102.90 43.71
Positions (direct):
Rb 0.0995 0.5259 0.3479
Rb 0.2376 0.7624 0.7500
Rb 0.4741 0.9005 0.1521
Rb 0.5259 0.0995 0.8479
Rb 0.7624 0.2376 0.2500
Rb 0.9005 0.4741 0.6521
Se 0.0946 0.6801 0.0318
Se 0.3199 0.9054 0.4682
Se 0.6801 0.0946 0.5318
Se 0.9054 0.3199 0.9682
O 0.0820 0.6119 0.8726
O 0.1553 0.1593 0.9097
O 0.1593 0.1553 0.4097
O 0.1609 0.8361 0.0591
O 0.1639 0.8391 0.4409
O 0.3112 0.4484 0.1117
O 0.3881 0.9180 0.6274
O 0.4484 0.3112 0.6117
O 0.5516 0.6888 0.3883
O 0.6119 0.0820 0.3726
O 0.6888 0.5516 0.8883
O 0.8361 0.1609 0.5591
O 0.8391 0.1639 0.9409
O 0.8407 0.8447 0.5903
O 0.8447 0.8407 0.0903
O 0.9180 0.3881 0.1274

Least stable of them? a.

## a
A plane-wave DFT calculation with PBE was carried out for a relaxed RbYSe2O6 crystal.

- Magnetization: 0.00 Bohr magnetons per cell
- Volume: 184.90 Å³/f.u.

a b c (Å): 7.2536 7.2536 7.2536
angles (deg): 46.74 46.74 46.74
Positions (direct):
Rb 0.0000 0.0000 0.0000
Y 0.5000 0.5000 0.5000
Se 0.2701 0.2701 0.2701
Se 0.7299 0.7299 0.7299
O 0.0695 0.5339 0.6917
O 0.3083 0.9305 0.4661
O 0.4661 0.3083 0.9305
O 0.5339 0.6917 0.0695
O 0.6917 0.0695 0.5339
O 0.9305 0.4661 0.3083

## b
A plane-wave DFT calculation with PBE was carried out for a relaxed RbYSe2O6 crystal.

- Magnetization: 0.00 Bohr magnetons per cell
- Volume: 187.30 Å³/f.u.

a b c (Å): 14.0899 5.8440 9.0988
angles (deg): 90.00 90.00 90.00
Positions (direct):
Rb 0.1212 0.2500 0.0125
Rb 0.3788 0.7500 0.5125
Rb 0.6212 0.2500 0.4875
Rb 0.8788 0.7500 0.9875
Y 0.1058 0.7500 0.6859
Y 0.3942 0.2500 0.1859
Y 0.6058 0.7500 0.8141
Y 0.8942 0.2500 0.3141
Se 0.0584 0.7500 0.2885
Se 0.2043 0.2500 0.4820
Se 0.2957 0.7500 0.9820
Se 0.4416 0.2500 0.7885
Se 0.5584 0.7500 0.2115
Se 0.7043 0.2500 0.0180
Se 0.7957 0.7500 0.5180
Se 0.9416 0.2500 0.7115
O 0.0051 0.0205 0.7813
O 0.0051 0.4795 0.7813
O 0.0279 0.7500 0.4703
O 0.1818 0.7500 0.9098
O 0.2096 0.0192 0.5999
O 0.2096 0.4808 0.5999
O 0.2904 0.5192 0.0999
O 0.2904 0.9808 0.0999
O 0.3182 0.2500 0.4098
O 0.4721 0.2500 0.9703
O 0.4949 0.5205 0.2813
O 0.4949 0.9795 0.2813
O 0.5051 0.0205 0.7187
O 0.5051 0.4795 0.7187
O 0.5279 0.7500 0.0297
O 0.6818 0.7500 0.5902
O 0.7096 0.0192 0.9001
O 0.7096 0.4808 0.9001
O 0.7904 0.5192 0.4001
O 0.7904 0.9808 0.4001
O 0.8182 0.2500 0.0902
O 0.9721 0.2500 0.5297
O 0.9949 0.5205 0.2187
O 0.9949 0.9795 0.2187

Least stable of them? a.

## a
A plane-wave DFT calculation with PBE was carried out for a relaxed Rb4SiO4 crystal.

- Magnetization: 0.28 Bohr magnetons per cell
- Volume: 187.78 Å³/f.u.

a b c (Å): 11.0076 6.7690 10.8890
angles (deg): 90.00 112.22 90.00
Positions (direct):
Rb 0.0651 0.0925 0.2002
Rb 0.0651 0.4075 0.7002
Rb 0.1533 0.6171 0.0835
Rb 0.1533 0.8829 0.5835
Rb 0.3699 0.6656 0.8928
Rb 0.3699 0.8344 0.3928
Rb 0.4197 0.1772 0.7910
Rb 0.4197 0.3228 0.2910
Rb 0.5803 0.6772 0.7090
Rb 0.5803 0.8228 0.2090
Rb 0.6301 0.1656 0.6072
Rb 0.6301 0.3344 0.1072
Rb 0.8467 0.1171 0.4165
Rb 0.8467 0.3829 0.9165
Rb 0.9349 0.5925 0.2998
Rb 0.9349 0.9075 0.7998
Si 0.2412 0.1279 0.9892
Si 0.2412 0.3721 0.4892
Si 0.7588 0.6279 0.5108
Si 0.7588 0.8721 0.0108
O 0.0983 0.2320 0.9736
O 0.0983 0.2680 0.4736
O 0.2180 0.5028 0.3517
O 0.2180 0.9972 0.8517
O 0.2978 0.5178 0.6243
O 0.2978 0.9822 0.1243
O 0.3511 0.1910 0.5069
O 0.3511 0.3090 0.0069
O 0.6489 0.6910 0.9931
O 0.6489 0.8090 0.4931
O 0.7022 0.0178 0.8757
O 0.7022 0.4822 0.3757
O 0.7820 0.0028 0.1483
O 0.7820 0.4972 0.6483
O 0.9017 0.7320 0.5264
O 0.9017 0.7680 0.0264

## b
A plane-wave DFT calculation with PBE was carried out for a relaxed Rb4SiO4 crystal.

- Magnetization: 0.00 Bohr magnetons per cell
- Volume: 181.93 Å³/f.u.

a b c (Å): 7.7401 7.7401 6.0734
angles (deg): 90.00 90.00 90.00
Positions (direct):
Rb 0.0330 0.2500 0.1243
Rb 0.2500 0.0330 0.6243
Rb 0.2500 0.4670 0.6243
Rb 0.4670 0.2500 0.1243
Rb 0.5330 0.7500 0.8757
Rb 0.7500 0.5330 0.3757
Rb 0.7500 0.9670 0.3757
Rb 0.9670 0.7500 0.8757
Si 0.2500 0.7500 0.2500
Si 0.7500 0.2500 0.7500
O 0.0730 0.7500 0.4096
O 0.2500 0.5730 0.0904
O 0.2500 0.9270 0.0904
O 0.4270 0.7500 0.4096
O 0.5730 0.2500 0.5904
O 0.7500 0.0730 0.9096
O 0.7500 0.4270 0.9096
O 0.9270 0.2500 0.5904

Least stable of them? b.

## a
A plane-wave DFT calculation with PBE was carried out for a relaxed Rb4SiO4 crystal.

- Magnetization: 0.25 Bohr magnetons per cell
- Volume: 188.70 Å³/f.u.

a b c (Å): 6.8265 6.9952 9.4133
angles (deg): 82.06 73.40 61.17
Positions (direct):
Rb 0.0121 0.2279 0.0499
Rb 0.1517 0.2796 0.6340
Rb 0.2439 0.7742 0.5473
Rb 0.4320 0.7264 0.1337
Rb 0.5680 0.2736 0.8663
Rb 0.7561 0.2258 0.4527
Rb 0.8483 0.7204 0.3660
Rb 0.9879 0.7721 0.9501
Si 0.3654 0.2671 0.2497
Si 0.6346 0.7329 0.7503
O 0.2251 0.4318 0.1254
O 0.2376 0.1136 0.3333
O 0.3458 0.4313 0.3730
O 0.3562 0.8928 0.8327
O 0.6438 0.1072 0.1673
O 0.6542 0.5687 0.6270
O 0.7624 0.8864 0.6667
O 0.7749 0.5682 0.8746

## b
A plane-wave DFT calculation with PBE was carried out for a relaxed Rb4SiO4 crystal.

- Magnetization: 0.00 Bohr magnetons per cell
- Volume: 196.23 Å³/f.u.

a b c (Å): 6.5767 6.5767 6.5767
angles (deg): 100.06 100.06 130.60
Positions (direct):
Rb 0.1171 0.2954 0.4125
Rb 0.2954 0.8829 0.1784
Rb 0.7046 0.1171 0.8216
Rb 0.8829 0.7046 0.5875
Si 0.5000 0.5000 0.0000
O 0.3020 0.5581 0.8601
O 0.4419 0.3020 0.7439
O 0.5581 0.6980 0.2561
O 0.6980 0.4419 0.1399

Least stable of them? b.

## a
A plane-wave DFT calculation with PBE was carried out for a relaxed Rb3SiO4 crystal.

- Magnetization: 4.06 Bohr magnetons per cell
- Volume: 164.07 Å³/f.u.

a b c (Å): 8.1195 8.6991 9.2912
angles (deg): 90.00 90.00 90.00
Positions (direct):
Rb 0.0256 0.0137 0.2200
Rb 0.0256 0.4863 0.2200
Rb 0.1744 0.7500 0.5059
Rb 0.3256 0.2500 0.0059
Rb 0.4744 0.5137 0.7200
Rb 0.4744 0.9863 0.7200
Rb 0.5256 0.0137 0.2800
Rb 0.5256 0.4863 0.2800
Rb 0.6744 0.7500 0.9941
Rb 0.8256 0.2500 0.4941
Rb 0.9744 0.5137 0.7800
Rb 0.9744 0.9863 0.7800
Si 0.2252 0.7500 0.9827
Si 0.2748 0.2500 0.4827
Si 0.7252 0.7500 0.5173
Si 0.7748 0.2500 0.0173
O 0.0282 0.7500 0.0282
O 0.1834 0.0944 0.5462
O 0.1834 0.4056 0.5462
O 0.2388 0.7500 0.8049
O 0.2612 0.2500 0.3049
O 0.3166 0.5944 0.0462
O 0.3166 0.9056 0.0462
O 0.4718 0.2500 0.5282
O 0.5282 0.7500 0.4718
O 0.6834 0.0944 0.9538
O 0.6834 0.4056 0.9538
O 0.7388 0.7500 0.6951
O 0.7612 0.2500 0.1951
O 0.8166 0.5944 0.4538
O 0.8166 0.9056 0.4538
O 0.9718 0.2500 0.9718

## b
A plane-wave DFT calculation with PBE was carried out for a relaxed Rb3SiO4 crystal.

- Magnetization: 1.00 Bohr magnetons per cell
- Volume: 160.38 Å³/f.u.

a b c (Å): 5.9818 5.9818 5.9818
angles (deg): 115.21 115.21 98.51
Positions (direct):
Rb 0.0000 0.0000 0.0000
Rb 0.2500 0.7500 0.5000
Rb 0.7500 0.2500 0.5000
Si 0.5000 0.5000 0.0000
O 0.3133 0.3133 0.6265
O 0.3133 0.6867 0.0000
O 0.6867 0.3133 0.0000
O 0.6867 0.6867 0.3735

Least stable of them? b.

## a
A plane-wave DFT calculation with PBE was carried out for a relaxed Rb2SiO crystal.

- Magnetization: 1.42 Bohr magnetons per cell
- Volume: 141.72 Å³/f.u.

a b c (Å): 8.9011 8.9011 8.9011
angles (deg): 92.53 92.53 155.73
Positions (direct):
Rb 0.3750 0.1655 0.2904
Rb 0.8346 0.1250 0.2096
Rb 0.8750 0.0846 0.7096
Rb 0.9154 0.6250 0.7904
Si 0.2500 0.7500 0.5000
Si 0.5000 0.5000 0.0000
O 0.0000 0.0000 0.0000
O 0.7500 0.2500 0.5000

## b
A plane-wave DFT calculation with PBE was carried out for a relaxed Rb2SiO crystal.

- Magnetization: 2.00 Bohr magnetons per cell
- Volume: 123.58 Å³/f.u.

a b c (Å): 5.5910 5.5910 5.5910
angles (deg): 60.00 60.00 60.00
Positions (direct):
Rb 0.2500 0.2500 0.2500
Rb 0.7500 0.7500 0.7500
Si 0.0000 0.0000 0.0000
O 0.5000 0.5000 0.5000

Least stable of them? b.

## a
A plane-wave DFT calculation with PBE was carried out for a relaxed Rb3SmO3 crystal.

- Magnetization: 0.01 Bohr magnetons per cell
- Volume: 181.29 Å³/f.u.

a b c (Å): 7.4457 7.4457 7.4107
angles (deg): 94.22 94.22 116.95
Positions (direct):
Rb 0.2124 0.7876 0.0000
Rb 0.2585 0.7415 0.5000
Rb 0.3589 0.3589 0.1394
Rb 0.6411 0.6411 0.8606
Rb 0.7415 0.2585 0.5000
Rb 0.7876 0.2124 0.0000
Sm 0.1825 0.1825 0.6498
Sm 0.8175 0.8175 0.3502
O 0.1050 0.1050 0.3427
O 0.1760 0.4569 0.7675
O 0.4569 0.1760 0.7675
O 0.5431 0.8240 0.2325
O 0.8240 0.5431 0.2325
O 0.8950 0.8950 0.6573

## b
A plane-wave DFT calculation with PBE was carried out for a relaxed Rb3SmO3 crystal.

- Magnetization: 0.00 Bohr magnetons per cell
- Volume: 165.69 Å³/f.u.

a b c (Å): 7.9436 7.9436 7.9436
angles (deg): 126.86 120.41 83.91
Positions (direct):
Rb 0.0000 0.2584 0.2584
Rb 0.0000 0.7416 0.7416
Rb 0.4704 0.2204 0.2500
Rb 0.5000 0.2584 0.7584
Rb 0.5000 0.7416 0.2416
Rb 0.5296 0.7796 0.7500
Sm 0.0368 0.7868 0.2500
Sm 0.9632 0.2132 0.7500
O 0.1940 0.0000 0.6940
O 0.1940 0.5000 0.1940
O 0.2238 0.9738 0.2500
O 0.7762 0.0262 0.7500
O 0.8060 0.0000 0.3060
O 0.8060 0.5000 0.8060

Least stable of them? a.